No. 1
Here is crystalline CaLaCu at its relaxed geometry from Alexandria. Energies are from GGA-PBE.

Results
- Formation enthalpy at 0 K: -0.1046 eV per atom
- E: -3.780 eV per atom

Unit cell a=3.913 b=4.582 c=10.443 alpha=90.00 beta=100.58 gamma=90.00
Space group P2_1/m (No. 11)
Unique sites:
Ca1 0.193 0.250 0.387 (multiplicity 2)
La1 0.426 0.250 0.850 (multiplicity 2)
Cu1 0.035 0.250 0.072 (multiplicity 2)

***

No. 2
Here is crystalline Ca2LaCu at its relaxed geometry from Alexandria. Energies are from GGA-PBE.

Results
- Formation enthalpy at 0 K: 0.0314 eV per atom
- E: -3.225 eV per atom

Unit cell a=3.678 b=5.557 c=12.307 alpha=90.00 beta=90.00 gamma=90.00
Space group Immm (No. 71)
Unique sites:
Ca1 0.000 0.000 0.191 (multiplicity 4)
La1 0.000 0.500 0.000 (multiplicity 2)
Cu1 0.000 0.500 0.500 (multiplicity 2)